(1)
DFT (PBEsol) results for AlSiB2Cl after structural relaxation.

The structure in POSCAR format:
```
AlSiB2Cl
1.0
4.104 0.000 0.000
0.000 4.104 0.000
0.000 0.000 5.281
Al Si B Cl
1 1 2 1
direct
0.000 0.000 0.000
0.000 0.000 0.500
0.000 0.500 0.000
0.500 0.000 0.000
0.500 0.500 0.500
```

The total magnetic moment comes out at 0.00 Bohr magnetons per cell. The uncorrected formation energy comes out at 1.4067 eV per atom. The calculation puts the total energy at -3.769 eV/atom. The calculation puts the density of states at the Fermi level at 2.34 states/eV per cell.

***

(2)
DFT (PBEsol) results for Al2CoB2 after structural relaxation.

The structure in POSCAR format:
```
Al2CoB2
1.0
5.405 0.000 0.000
0.000 5.405 0.000
0.000 0.000 3.230
Al Co B
4 2 4
direct
0.184 0.316 0.000
0.316 0.816 0.000
0.684 0.184 0.000
0.816 0.684 0.000
0.000 0.000 0.500
0.500 0.500 0.500
0.113 0.613 0.500
0.387 0.113 0.500
0.613 0.887 0.500
0.887 0.387 0.500
```

The total magnetic moment comes out at 0.00 Bohr magnetons per cell. The calculation puts the total energy at -6.276 eV/atom. The value obtained for the formation enthalpy at 0 K is -0.285 eV per atom. The calculation puts the density of states at the Fermi level at 1.69 states/eV per cell.

***

(3)
DFT (PBEsol) results for Al3Co20B6 after structural relaxation.

The structure in POSCAR format:
```
Al3Co20B6
1.0
0.000 5.157 5.157
5.157 0.000 5.157
5.157 5.157 0.000
Al Co B
3 20 6
direct
0.000 0.000 0.000
0.250 0.250 0.250
0.750 0.750 0.750
0.000 0.000 0.341
0.000 0.000 0.659
0.000 0.341 0.000
0.000 0.341 0.659
0.000 0.659 0.000
0.000 0.659 0.341
0.148 0.617 0.617
0.341 0.000 0.000
0.341 0.000 0.659
0.341 0.659 0.000
0.383 0.383 0.383
0.383 0.383 0.852
0.383 0.852 0.383
0.617 0.148 0.617
0.617 0.617 0.148
0.617 0.617 0.617
0.659 0.000 0.000
0.659 0.000 0.341
0.659 0.341 0.000
0.852 0.383 0.383
0.276 0.276 0.724
0.276 0.724 0.276
0.276 0.724 0.724
0.724 0.276 0.276
0.724 0.276 0.724
0.724 0.724 0.276
```

The total magnetic moment comes out at 16.99 Bohr magnetons per cell. The calculation puts the total energy at -7.541 eV/atom. The value obtained for the formation enthalpy at 0 K is -0.330 eV per atom. The calculation puts the density of states at the Fermi level at 34.00 states/eV per cell.

***

(4)
DFT (PBEsol) results for AlCo2B2 after structural relaxation.

The structure in POSCAR format:
```
AlCo2B2
1.0
5.754 0.000 0.000
0.000 5.754 0.000
0.000 0.000 2.569
Al Co B
2 4 4
direct
0.000 0.000 0.000
0.500 0.500 0.000
0.176 0.324 0.500
0.324 0.824 0.500
0.676 0.176 0.500
0.824 0.676 0.500
0.111 0.611 0.000
0.389 0.111 0.000
0.611 0.889 0.000
0.889 0.389 0.000
```

The total magnetic moment comes out at 0.00 Bohr magnetons per cell. The calculation puts the total energy at -7.110 eV/atom. The value obtained for the formation enthalpy at 0 K is -0.390 eV per atom. The calculation puts the density of states at the Fermi level at 5.01 states/eV per cell.

***

(5)
DFT (PBEsol) results for Al4CoB2O10 after structural relaxation.

The structure in POSCAR format:
```
Al4CoB2O10
1.0
7.170 0.000 0.000
0.000 4.323 0.000
-3.193 0.000 9.021
Al Co B O
8 2 4 20
direct
0.080 0.002 0.394
0.080 0.498 0.894
0.300 0.015 0.171
0.300 0.485 0.671
0.700 0.515 0.329
0.700 0.985 0.829
0.920 0.502 0.106
0.920 0.998 0.606
0.500 0.000 0.500
0.500 0.500 0.000
0.295 0.568 0.351
0.295 0.932 0.851
0.705 0.068 0.149
0.705 0.432 0.649
0.111 0.223 0.562
0.111 0.277 0.062
0.119 0.735 0.244
0.119 0.765 0.744
0.288 0.233 0.350
0.288 0.267 0.850
0.298 0.709 0.497
0.298 0.791 0.997
0.458 0.704 0.312
0.458 0.796 0.812
0.542 0.204 0.188
0.542 0.296 0.688
0.702 0.209 0.003
0.702 0.291 0.503
0.712 0.733 0.150
0.712 0.767 0.650
0.881 0.235 0.256
0.881 0.265 0.756
0.889 0.723 0.938
0.889 0.777 0.438
```

The total magnetic moment comes out at 1.89 Bohr magnetons per cell. The uncorrected formation energy comes out at -2.6088 eV per atom. The calculation puts the total energy at -7.940 eV/atom. The calculation puts the density of states at the Fermi level at 0.29 states/eV per cell.

***

(6)
DFT (PBEsol) results for Al2CrInB after structural relaxation.

The structure in POSCAR format:
```
Al2CrInB
1.0
4.975 0.000 0.000
0.000 4.975 0.000
0.000 0.000 5.035
Al Cr In B
2 1 1 1
direct
0.000 0.500 0.000
0.500 0.000 0.000
0.000 0.000 0.500
0.000 0.000 0.000
0.500 0.500 0.500
```

The total magnetic moment comes out at 3.89 Bohr magnetons per cell. The calculation puts the total energy at -3.686 eV/atom. The value obtained for the formation enthalpy at 0 K is 1.999 eV per atom. The calculation puts the density of states at the Fermi level at 3.59 states/eV per cell.

***

(7)
DFT (PBEsol) results for La2AlCrB after structural relaxation.

The structure in POSCAR format:
```
La2AlCrB
1.0
5.163 0.000 0.000
0.000 5.163 0.000
0.000 0.000 4.062
La Al Cr B
2 1 1 1
direct
0.000 0.500 0.000
0.500 0.000 0.000
0.000 0.000 0.500
0.500 0.500 0.000
0.500 0.500 0.500
```

The total magnetic moment comes out at 0.00 Bohr magnetons per cell. The calculation puts the total energy at -5.948 eV/atom. The value obtained for the formation enthalpy at 0 K is 0.461 eV per atom. The calculation puts the density of states at the Fermi level at 4.54 states/eV per cell.

***

(8)
DFT (PBEsol) results for MnAlCr2B after structural relaxation.

The structure in POSCAR format:
```
MnAlCr2B
1.0
4.379 0.000 0.000
0.000 4.379 0.000
0.000 0.000 4.298
Mn Al Cr B
1 1 2 1
direct
0.000 0.000 0.000
0.000 0.000 0.500
0.000 0.500 0.500
0.500 0.000 0.500
0.500 0.500 0.000
```

The total magnetic moment comes out at 8.46 Bohr magnetons per cell. The calculation puts the total energy at -6.117 eV/atom. The value obtained for the formation enthalpy at 0 K is 2.153 eV per atom. The calculation puts the density of states at the Fermi level at 5.04 states/eV per cell.

***

Among the records above, which one has the highest total magnetic moment? Al3Co20B6

***

Copy entry 6 word for word.
DFT (PBEsol) results for Al2CrInB after structural relaxation.

The structure in POSCAR format:
```
Al2CrInB
1.0
4.975 0.000 0.000
0.000 4.975 0.000
0.000 0.000 5.035
Al Cr In B
2 1 1 1
direct
0.000 0.500 0.000
0.500 0.000 0.000
0.000 0.000 0.500
0.000 0.000 0.000
0.500 0.500 0.500
```

The total magnetic moment comes out at 3.89 Bohr magnetons per cell. The calculation puts the total energy at -3.686 eV/atom. The value obtained for the formation enthalpy at 0 K is 1.999 eV per atom. The calculation puts the density of states at the Fermi level at 3.59 states/eV per cell.

***

Number 5 is which compound? Al4CoB2O10